(1)
The following is a PBE calculation of a geometry-optimized RbGe2Pd5 structure, from Alexandria.

extended XYZ file:
```
8
Lattice="-2.420 2.394 2.044 -6.270 -1.442 -1.880 -3.332 -3.819 4.386" Properties=species:S:1:pos:R:3 pbc="T T T"
Pd -6.577 -3.091 3.546
Pd -7.702 -2.181 1.148
Rb 0.000 0.000 0.000
Ge -8.907 -2.033 3.405
Pd -4.321 -0.686 3.401
Pd -4.801 -2.630 1.253
Ge -3.116 -0.834 1.144
Pd -5.446 0.224 1.003
```

Calculated values
VASP energy = -39.10 eV per formula unit
DFT formation energy = -0.367 eV/atom
calculated density = 8.30 g/cm3
size of the total moment = 0.00 μB per atom
V = 152.64 Å³/f.u.

=====

(2)
The following is a PBE calculation of a geometry-optimized RbGe3Pd3 structure, from Alexandria.

extended XYZ file:
```
14
Lattice="-1.464 6.053 3.160 -6.785 -1.652 0.022 0.767 -3.065 6.227" Properties=species:S:1:pos:R:3 pbc="T T T"
Ge -3.201 -1.592 1.568
Ge -2.817 -3.125 4.681
Ge -2.428 2.613 1.585
Pd -0.540 2.260 3.137
Ge -0.715 3.007 5.483
Ge 0.017 -0.019 3.904
Pd -3.758 0.687 0.801
Pd -1.313 -1.946 3.119
Pd -4.705 -2.772 3.130
Pd -4.490 3.714 2.381
Rb 0.000 0.000 0.000
Ge -5.820 1.787 1.596
Rb -3.741 0.668 4.704
Pd -0.157 0.728 6.250
```

Calculated values
VASP energy = -32.01 eV per formula unit
DFT formation energy = -0.231 eV/atom
calculated density = 6.07 g/cm3
size of the total moment = 0.00 μB per atom
V = 170.26 Å³/f.u.

=====

(3)
The following is a PBE calculation of a geometry-optimized RbGe2Pd structure, from Alexandria.

extended XYZ file:
```
4
Lattice="-0.515 -2.869 -1.726 2.806 -1.323 1.361 -4.313 -2.887 6.087" Properties=species:S:1:pos:R:3 pbc="T T T"
Ge -3.595 -2.406 5.073
Rb -1.011 -3.539 2.861
Ge -0.718 -0.481 1.014
Pd 1.145 -2.096 -0.182
```

Calculated values
VASP energy = -15.97 eV per formula unit
DFT formation energy = -0.144 eV/atom
relative energy among the computed polymorphs = 115 meV/atom
calculated density = 6.10 g/cm3
size of the total moment = 0.00 μB per atom
V = 91.80 Å³/f.u.

=====

(4)
The following is a PBE calculation of a geometry-optimized RbGe2Pd3 structure, from Alexandria.

extended XYZ file:
```
12
Lattice="4.175 0.000 0.000 -2.087 7.887 0.290 0.000 -3.267 7.551" Properties=species:S:1:pos:R:3 pbc="T T T"
Pd 2.087 1.435 3.305
Rb 0.000 2.442 0.572
Ge 0.000 4.879 6.479
Ge 2.087 3.934 3.083
Rb 2.087 2.178 7.269
Pd 2.087 -0.764 5.001
Pd 0.000 -0.621 2.662
Pd 0.000 3.186 4.536
Ge 2.087 -0.258 1.362
Pd 0.000 5.385 2.840
Pd 2.087 5.241 5.179
Ge 0.000 0.687 4.758
```

Calculated values
VASP energy = -28.05 eV per formula unit
DFT formation energy = -0.378 eV/atom
calculated density = 7.23 g/cm3
size of the total moment = 0.00 μB per atom
V = 126.29 Å³/f.u.

=====

(5)
The following is a PBE calculation of a geometry-optimized Rb3Ge4Pd2 structure, from Alexandria.

extended XYZ file:
```
9
Lattice="-0.151 -1.876 -3.868 4.505 -3.597 3.960 -9.217 -2.267 1.460" Properties=species:S:1:pos:R:3 pbc="T T T"
Rb -2.559 -4.794 2.425
Ge -6.089 -4.628 2.482
Ge 1.226 -3.112 -0.931
Rb -2.304 -2.945 -0.873
Ge 0.219 -5.549 0.291
Ge -5.082 -2.190 1.261
Pd 0.930 -3.570 1.695
Rb 0.000 0.000 0.000
Pd -5.794 -4.170 -0.143
```

Calculated values
VASP energy = -33.51 eV per formula unit
DFT formation energy = -0.195 eV/atom
calculated density = 5.09 g/cm3
size of the total moment = 0.00 μB per atom
V = 247.98 Å³/f.u.

=====

(6)
The following is a PBE calculation of a geometry-optimized Rb2Ge7Pd12 structure, from Alexandria.

extended XYZ file:
```
21
Lattice="-2.078 -0.794 3.254 -8.248 -2.635 -5.909 7.040 -7.277 2.718" Properties=species:S:1:pos:R:3 pbc="T T T"
Pd 3.313 -4.129 1.107
Ge -4.185 -2.011 -0.776
Pd -2.172 -3.501 0.146
Pd -6.245 -4.166 -5.004
Ge 1.944 -5.730 -0.158
Pd -4.158 -7.272 -2.043
Pd 0.361 -4.145 1.606
Pd -6.243 -2.967 -2.323
Pd -0.106 -4.974 -1.282
Pd 2.618 -6.792 2.401
Ge 5.051 -5.816 1.805
Ge 0.109 -2.569 -0.558
Pd 2.624 -8.086 -0.298
Rb -1.039 -0.397 1.627
Pd -1.274 -7.301 -2.596
Ge -6.141 -5.572 -2.893
Pd -0.265 -7.445 0.401
Ge 0.671 -8.805 -1.721
Pd -1.938 -1.080 -1.501
Rb -3.152 -4.182 -3.034
Ge -2.248 -6.156 -0.550
```

Calculated values
VASP energy = -105.10 eV per formula unit
DFT formation energy = -0.406 eV/atom
calculated density = 8.66 g/cm3
size of the total moment = 0.00 μB per atom
V = 375.20 Å³/f.u.

=====

(7)
The following is a PBE calculation of a geometry-optimized RbGe2Pd4 structure, from Alexandria.

extended XYZ file:
```
28
Lattice="4.052 0.000 0.000 0.000 7.578 0.000 0.000 0.000 18.282" Properties=species:S:1:pos:R:3 pbc="T T T"
Ge 1.013 0.043 13.788
Ge 1.013 5.104 10.177
Ge 3.039 1.315 17.247
Pd 1.013 6.095 3.627
Pd 3.039 5.157 5.445
Pd 1.013 0.065 16.215
Pd 1.013 1.367 3.696
Pd 1.013 1.132 0.533
Pd 1.013 2.422 12.837
Rb 1.013 7.328 7.311
Pd 1.013 3.724 7.073
Pd 3.039 2.306 5.514
Pd 1.013 5.273 12.769
Pd 3.039 3.854 11.209
Ge 1.013 3.746 4.646
Ge 3.039 3.832 13.636
Ge 1.013 6.264 1.035
Pd 1.013 2.657 9.674
Rb 3.039 0.251 10.972
Pd 3.039 6.447 17.750
Rb 1.013 4.040 16.452
Rb 3.039 3.538 1.830
Pd 3.039 4.921 8.609
Ge 3.039 2.474 8.106
Pd 3.039 7.513 2.068
Ge 3.039 7.535 4.495
Pd 3.039 1.483 14.655
Pd 3.039 6.211 14.587
```

Calculated values
VASP energy = -33.74 eV per formula unit
DFT formation energy = -0.394 eV/atom
calculated density = 7.77 g/cm3
size of the total moment = 0.00 μB per atom
V = 140.37 Å³/f.u.

=====

(8)
The following is a PBE calculation of a geometry-optimized RbGe2Pd structure, from Alexandria.

extended XYZ file:
```
4
Lattice="0.000 3.503 3.503 3.503 0.000 3.503 3.503 3.503 0.000" Properties=species:S:1:pos:R:3 pbc="T T T"
Rb 0.000 0.000 0.000
Ge 5.255 5.255 5.255
Ge 1.752 1.752 1.752
Pd 3.503 3.503 3.503
```

Calculated values
VASP energy = -13.86 eV per formula unit
DFT formation energy = 0.384 eV/atom
relative energy among the computed polymorphs = 644 meV/atom
calculated density = 6.51 g/cm3
size of the total moment = 0.00 μB per atom
V = 86.00 Å³/f.u.